# 1
Entry from Alexandria: Dy5Y7Er after structural relaxation (PBE-GGA).

The structure in CIF format:
```
data_Dy5Y7Er
_symmetry_space_group_name_H-M 'I m m 2'
_symmetry_Int_Tables_number 44
_cell_length_a 6.665
_cell_length_b 11.157
_cell_length_c 11.570
_cell_angle_alpha 90.00
_cell_angle_beta 90.00
_cell_angle_gamma 90.00
loop_
_symmetry_equiv_pos_as_xyz
'x,y,z'
'-x,-y,z'
'-x,y,z'
'x,-y,z'
'x+1/2,y+1/2,z+1/2'
'-x+1/2,-y+1/2,z+1/2'
'-x+1/2,y+1/2,z+1/2'
'x+1/2,-y+1/2,z+1/2'
loop_
_atom_site_label
_atom_site_type_symbol
_atom_site_fract_x
_atom_site_fract_y
_atom_site_fract_z
Dy1 Dy 0.000 0.000 0.000
Dy2 Dy 0.231 0.273 0.003
Y1 Y 0.000 0.000 0.504
Y2 Y 0.000 0.169 0.252
Y3 Y 0.000 0.173 0.753
Y4 Y 0.000 0.500 0.197
Y5 Y 0.000 0.500 0.509
Er1 Er 0.000 0.500 0.815
```

# 2
# Dy7Y12Er, relaxed, DFT PBE-GGA
# distance to the lowest polymorph of the same formula: 0 meV per atom
data_Dy7Y12Er
_symmetry_space_group_name_H-M 'R -3'
_symmetry_Int_Tables_number 148
_symmetry_space_group_name_Hall '-R 3'
_cell_length_a 12.8262
_cell_length_b 12.8262
_cell_length_c 13.6587
_cell_angle_alpha 90.00
_cell_angle_beta 90.00
_cell_angle_gamma 120.00
loop_
_atom_site_label
_atom_site_type_symbol
_atom_site_fract_x
_atom_site_fract_y
_atom_site_fract_z
Dy1 Dy 0.0000 0.0000 0.0000
Dy2 Dy 0.0686 0.8691 0.3463
Y1 Y 0.0025 0.5651 0.2486
Y2 Y 0.0682 0.2002 0.8493
Er1 Er 0.0000 0.0000 0.5000

# 3
# Dy2Y3Er7, relaxed, DFT PBE-GGA
# distance to the lowest polymorph of the same formula: 212 meV per atom
data_Dy2Y3Er7
_symmetry_space_group_name_H-M 'P 1 2/m 1'
_symmetry_Int_Tables_number 10
_cell_length_a 6.143
_cell_length_b 5.477
_cell_length_c 11.979
_cell_angle_alpha 90.00
_cell_angle_beta 92.43
_cell_angle_gamma 90.00
loop_
_symmetry_equiv_pos_as_xyz
'x,y,z'
'-x,-y,-z'
'-x,y,-z'
'x,-y,z'
loop_
_atom_site_label
_atom_site_type_symbol
_atom_site_fract_x
_atom_site_fract_y
_atom_site_fract_z
Dy1 Dy 0.103 0.000 0.280
Y1 Y 0.000 0.000 0.000
Y2 Y 0.448 0.500 0.337
Er1 Er 0.068 0.500 0.821
Er2 Er 0.267 0.000 0.547
Er3 Er 0.417 0.000 0.834
Er4 Er 0.500 0.500 0.000

# 4
# Dy3Y8Er4, relaxed, DFT PBE-GGA
# distance to the lowest polymorph of the same formula: 0 meV per atom
data_Dy3Y8Er4
_symmetry_space_group_name_H-M 'R -3 m'
_symmetry_Int_Tables_number 166
_symmetry_space_group_name_Hall '-R 3 2"'
_cell_length_a 6.9320
_cell_length_b 6.9320
_cell_length_c 35.1395
_cell_angle_alpha 90.00
_cell_angle_beta 90.00
_cell_angle_gamma 120.00
loop_
_atom_site_label
_atom_site_type_symbol
_atom_site_fract_x
_atom_site_fract_y
_atom_site_fract_z
Dy1 Dy 0.0000 0.5000 0.0000
Y1 Y 0.0000 0.0000 0.2548
Y2 Y 0.0010 0.5005 0.2498
Er1 Er 0.0000 0.0000 0.0000
Er2 Er 0.0000 0.0000 0.1641
Er3 Er 0.0000 0.0000 0.5000

# 5
# DyYEr3, relaxed, DFT PBE-GGA
# distance to the lowest polymorph of the same formula: 0 meV per atom
data_DyYEr3
_symmetry_space_group_name_H-M 'P -1'
_symmetry_Int_Tables_number 2
_cell_length_a 6.238
_cell_length_b 6.657
_cell_length_c 9.131
_cell_angle_alpha 107.61
_cell_angle_beta 90.01
_cell_angle_gamma 117.87
loop_
_symmetry_equiv_pos_as_xyz
'x,y,z'
'-x,-y,-z'
loop_
_atom_site_label
_atom_site_type_symbol
_atom_site_fract_x
_atom_site_fract_y
_atom_site_fract_z
Dy1 Dy 0.135 0.101 0.350
Y1 Y 0.467 0.101 0.850
Er1 Er 0.067 0.300 0.050
Er2 Er 0.266 0.700 0.450
Er3 Er 0.331 0.499 0.749

# 6
Entry from Alexandria: Dy5Y6Er after structural relaxation (PBE-GGA).

The structure in CIF format:
```
data_Dy5Y6Er
_symmetry_space_group_name_H-M 'C 1 2/m 1'
_symmetry_Int_Tables_number 12
_cell_length_a 6.158
_cell_length_b 10.653
_cell_length_c 11.776
_cell_angle_alpha 90.00
_cell_angle_beta 99.98
_cell_angle_gamma 90.00
loop_
_symmetry_equiv_pos_as_xyz
'x,y,z'
'-x,-y,-z'
'-x,y,-z'
'x,-y,z'
'x+1/2,y+1/2,z'
'-x+1/2,-y+1/2,-z'
'-x+1/2,y+1/2,-z'
'x+1/2,-y+1/2,z'
loop_
_atom_site_label
_atom_site_type_symbol
_atom_site_fract_x
_atom_site_fract_y
_atom_site_fract_z
Dy1 Dy 0.000 0.000 0.000
Dy2 Dy 0.000 0.167 0.500
Dy3 Dy 0.000 0.333 0.000
Y1 Y 0.250 0.000 0.750
Y2 Y 0.250 0.167 0.250
Er1 Er 0.000 0.500 0.500
```

# 7
# DyY2Er4, relaxed, DFT PBE-GGA
# distance to the lowest polymorph of the same formula: 0 meV per atom
data_DyY2Er4
_symmetry_space_group_name_H-M 'C 1 m 1'
_symmetry_Int_Tables_number 8
_cell_length_a 6.217
_cell_length_b 3.590
_cell_length_c 19.810
_cell_angle_alpha 90.00
_cell_angle_beta 95.99
_cell_angle_gamma 90.00
loop_
_symmetry_equiv_pos_as_xyz
'x,y,z'
'x,-y,z'
'x+1/2,y+1/2,z'
'x+1/2,-y+1/2,z'
loop_
_atom_site_label
_atom_site_type_symbol
_atom_site_fract_x
_atom_site_fract_y
_atom_site_fract_z
Dy1 Dy 0.000 0.000 0.000
Y1 Y 0.094 0.000 0.286
Y2 Y 0.189 0.000 0.574
Er1 Er 0.286 0.000 0.858
Er2 Er 0.307 0.500 0.431
Er3 Er 0.380 0.000 0.142
Er4 Er 0.404 0.500 0.717

# 8
Entry from Alexandria: DyY8Er5 after structural relaxation (PBE-GGA).

The structure in CIF format:
```
data_DyY8Er5
_symmetry_space_group_name_H-M 'I -4'
_symmetry_Int_Tables_number 82
_cell_length_a 9.534
_cell_length_b 9.534
_cell_length_c 10.101
_cell_angle_alpha 90.00
_cell_angle_beta 90.00
_cell_angle_gamma 90.00
loop_
_symmetry_equiv_pos_as_xyz
'x,y,z'
'y,-x,-z'
'-x,-y,z'
'-y,x,-z'
'x+1/2,y+1/2,z+1/2'
'y+1/2,-x+1/2,-z+1/2'
'-x+1/2,-y+1/2,z+1/2'
'-y+1/2,x+1/2,-z+1/2'
loop_
_atom_site_label
_atom_site_type_symbol
_atom_site_fract_x
_atom_site_fract_y
_atom_site_fract_z
Dy1 Dy 0.000 0.000 0.000
Y1 Y 0.071 0.177 0.346
Y2 Y 0.087 0.326 0.003
Er1 Er 0.000 0.500 0.250
Er2 Er 0.110 0.289 0.676
```

# 9
Entry from Alexandria: Dy4Y7Er after structural relaxation (PBE-GGA).

The structure in CIF format:
```
data_Dy4Y7Er
_symmetry_space_group_name_H-M 'C 1 2/m 1'
_symmetry_Int_Tables_number 12
_cell_length_a 12.067
_cell_length_b 5.866
_cell_length_c 12.737
_cell_angle_alpha 90.00
_cell_angle_beta 118.06
_cell_angle_gamma 90.00
loop_
_symmetry_equiv_pos_as_xyz
'x,y,z'
'-x,-y,-z'
'-x,y,-z'
'x,-y,z'
'x+1/2,y+1/2,z'
'-x+1/2,-y+1/2,-z'
'-x+1/2,y+1/2,-z'
'x+1/2,-y+1/2,z'
loop_
_atom_site_label
_atom_site_type_symbol
_atom_site_fract_x
_atom_site_fract_y
_atom_site_fract_z
Dy1 Dy 0.142 0.000 0.275
Dy2 Dy 0.235 0.500 0.176
Y1 Y 0.000 0.000 0.500
Y2 Y 0.064 0.500 0.814
Y3 Y 0.133 0.000 0.998
Y4 Y 0.211 0.500 0.424
Er1 Er 0.000 0.500 0.500
```

# 10
Entry from Alexandria: DyY4Er7 after structural relaxation (PBE-GGA).

The structure in CIF format:
```
data_DyY4Er7
_symmetry_space_group_name_H-M 'C 1 2/m 1'
_symmetry_Int_Tables_number 12
_cell_length_a 11.981
_cell_length_b 5.830
_cell_length_c 12.626
_cell_angle_alpha 90.00
_cell_angle_beta 118.09
_cell_angle_gamma 90.00
loop_
_symmetry_equiv_pos_as_xyz
'x,y,z'
'-x,-y,-z'
'-x,y,-z'
'x,-y,z'
'x+1/2,y+1/2,z'
'-x+1/2,-y+1/2,-z'
'-x+1/2,y+1/2,-z'
'x+1/2,-y+1/2,z'
loop_
_atom_site_label
_atom_site_type_symbol
_atom_site_fract_x
_atom_site_fract_y
_atom_site_fract_z
Dy1 Dy 0.000 0.000 0.000
Y1 Y 0.062 0.500 0.319
Y2 Y 0.140 0.000 0.776
Er1 Er 0.000 0.500 0.000
Er2 Er 0.134 0.000 0.500
Er3 Er 0.213 0.500 0.924
Er4 Er 0.242 0.500 0.680
```

# 11
# Dy3YEr4, relaxed, DFT PBE-GGA
# distance to the lowest polymorph of the same formula: 21 meV per atom
data_Dy3YEr4
_symmetry_space_group_name_H-M 'P m m m'
_symmetry_Int_Tables_number 47
_cell_length_a 3.532
_cell_length_b 7.049
_cell_length_c 9.970
_cell_angle_alpha 90.00
_cell_angle_beta 90.00
_cell_angle_gamma 90.00
loop_
_symmetry_equiv_pos_as_xyz
'x,y,z'
'-x,-y,-z'
'-x,-y,z'
'x,y,-z'
'x,-y,-z'
'-x,y,z'
'-x,y,-z'
'x,-y,z'
loop_
_atom_site_label
_atom_site_type_symbol
_atom_site_fract_x
_atom_site_fract_y
_atom_site_fract_z
Dy1 Dy 0.000 0.000 0.000
Dy2 Dy 0.000 0.000 0.500
Dy3 Dy 0.000 0.500 0.000
Y1 Y 0.000 0.500 0.500
Er1 Er 0.500 0.249 0.249

# 12
# Dy4Y5Er3, relaxed, DFT PBE-GGA
# distance to the lowest polymorph of the same formula: 217 meV per atom
data_Dy4Y5Er3
_symmetry_space_group_name_H-M 'C 1 2/m 1'
_symmetry_Int_Tables_number 12
_cell_length_a 16.087
_cell_length_b 5.849
_cell_length_c 9.231
_cell_angle_alpha 90.00
_cell_angle_beta 116.53
_cell_angle_gamma 90.00
loop_
_symmetry_equiv_pos_as_xyz
'x,y,z'
'-x,-y,-z'
'-x,y,-z'
'x,-y,z'
'x+1/2,y+1/2,z'
'-x+1/2,-y+1/2,-z'
'-x+1/2,y+1/2,-z'
'x+1/2,-y+1/2,z'
loop_
_atom_site_label
_atom_site_type_symbol
_atom_site_fract_x
_atom_site_fract_y
_atom_site_fract_z
Dy1 Dy 0.081 0.000 0.441
Dy2 Dy 0.215 0.000 0.879
Y1 Y 0.000 0.000 0.000
Y2 Y 0.074 0.500 0.704
Y3 Y 0.173 0.500 0.385
Er1 Er 0.000 0.500 0.000
Er2 Er 0.209 0.000 0.231

# 13
Entry from Alexandria: Dy8YEr5 after structural relaxation (PBE-GGA).

The structure in CIF format:
```
data_Dy8YEr5
_symmetry_space_group_name_H-M 'I -4'
_symmetry_Int_Tables_number 82
_cell_length_a 9.500
_cell_length_b 9.500
_cell_length_c 10.073
_cell_angle_alpha 90.00
_cell_angle_beta 90.00
_cell_angle_gamma 90.00
loop_
_symmetry_equiv_pos_as_xyz
'x,y,z'
'y,-x,-z'
'-x,-y,z'
'-y,x,-z'
'x+1/2,y+1/2,z+1/2'
'y+1/2,-x+1/2,-z+1/2'
'-x+1/2,-y+1/2,z+1/2'
'-y+1/2,x+1/2,-z+1/2'
loop_
_atom_site_label
_atom_site_type_symbol
_atom_site_fract_x
_atom_site_fract_y
_atom_site_fract_z
Dy1 Dy 0.070 0.324 0.097
Dy2 Dy 0.090 0.172 0.753
Y1 Y 0.000 0.500 0.750
Er1 Er 0.000 0.000 0.000
Er2 Er 0.111 0.209 0.426
```

# 14
# Dy7YEr4, relaxed, DFT PBE-GGA
# distance to the lowest polymorph of the same formula: 0 meV per atom
data_Dy7YEr4
_symmetry_space_group_name_H-M 'P -1'
_symmetry_Int_Tables_number 2
_cell_length_a 6.459
_cell_length_b 6.781
_cell_length_c 8.979
_cell_angle_alpha 86.17
_cell_angle_beta 76.68
_cell_angle_gamma 82.03
loop_
_symmetry_equiv_pos_as_xyz
'x,y,z'
'-x,-y,-z'
loop_
_atom_site_label
_atom_site_type_symbol
_atom_site_fract_x
_atom_site_fract_y
_atom_site_fract_z
Dy1 Dy 0.000 0.000 0.000
Dy2 Dy 0.192 0.603 0.387
Dy3 Dy 0.315 0.204 0.642
Dy4 Dy 0.485 0.751 0.051
Y1 Y 0.000 0.500 0.000
Er1 Er 0.161 0.112 0.314
Er2 Er 0.359 0.697 0.714

# 15
Entry from Alexandria: Dy3Y8Er after structural relaxation (PBE-GGA).

The structure in CIF format:
```
data_Dy3Y8Er
_symmetry_space_group_name_H-M 'I 4/m m m'
_symmetry_Int_Tables_number 139
_symmetry_space_group_name_Hall '-I 4 2'
_cell_length_a 7.686
_cell_length_b 7.686
_cell_length_c 15.390
_cell_angle_alpha 90.00
_cell_angle_beta 90.00
_cell_angle_gamma 90.00
loop_
_atom_site_label
_atom_site_type_symbol
_atom_site_fract_x
_atom_site_fract_y
_atom_site_fract_z
Dy1 Dy 0.000 0.000 0.000
Dy2 Dy 0.000 0.500 0.250
Y1 Y 0.250 0.250 0.125
Er1 Er 0.000 0.000 0.500
```

# 16
# Dy4Y4Er, relaxed, DFT PBE-GGA
# distance to the lowest polymorph of the same formula: 0 meV per atom
data_Dy4Y4Er
_symmetry_space_group_name_H-M 'I 4/m m m'
_symmetry_Int_Tables_number 139
_symmetry_space_group_name_Hall '-I 4 2'
_cell_length_a 10.663
_cell_length_b 10.663
_cell_length_c 5.014
_cell_angle_alpha 90.00
_cell_angle_beta 90.00
_cell_angle_gamma 90.00
loop_
_atom_site_label
_atom_site_type_symbol
_atom_site_fract_x
_atom_site_fract_y
_atom_site_fract_z
Dy1 Dy 0.000 0.334 0.000
Y1 Y 0.166 0.166 0.500
Er1 Er 0.000 0.000 0.000

# 17
# Dy5Y12Er2, relaxed, DFT PBE-GGA
# distance to the lowest polymorph of the same formula: 102 meV per atom
data_Dy5Y12Er2
_symmetry_space_group_name_H-M 'C 1 2/m 1'
_symmetry_Int_Tables_number 12
_cell_length_a 15.496
_cell_length_b 9.305
_cell_length_c 8.606
_cell_angle_alpha 90.00
_cell_angle_beta 91.81
_cell_angle_gamma 90.00
loop_
_symmetry_equiv_pos_as_xyz
'x,y,z'
'-x,-y,-z'
'-x,y,-z'
'x,-y,z'
'x+1/2,y+1/2,z'
'-x+1/2,-y+1/2,-z'
'-x+1/2,y+1/2,-z'
'x+1/2,-y+1/2,z'
loop_
_atom_site_label
_atom_site_type_symbol
_atom_site_fract_x
_atom_site_fract_y
_atom_site_fract_z
Dy1 Dy 0.000 0.000 0.000
Dy2 Dy 0.204 0.500 0.520
Dy3 Dy 0.230 0.000 0.072
Y1 Y 0.058 0.500 0.834
Y2 Y 0.076 0.000 0.374
Y3 Y 0.129 0.308 0.168
Y4 Y 0.150 0.180 0.738
Er1 Er 0.000 0.328 0.500

# 18
Entry from Alexandria: Dy6Y16Er7 after structural relaxation (PBE-GGA).

The structure in CIF format:
```
data_Dy6Y16Er7
_symmetry_space_group_name_H-M 'F m -3 m'
_symmetry_Int_Tables_number 225
_symmetry_space_group_name_Hall '-F 4 2 3'
_cell_length_a 15.720
_cell_length_b 15.720
_cell_length_c 15.720
_cell_angle_alpha 90.00
_cell_angle_beta 90.00
_cell_angle_gamma 90.00
loop_
_atom_site_label
_atom_site_type_symbol
_atom_site_fract_x
_atom_site_fract_y
_atom_site_fract_z
Dy1 Dy 0.000 0.000 0.223
Y1 Y 0.122 0.122 0.378
Y2 Y 0.152 0.152 0.152
Er1 Er 0.000 0.000 0.500
Er2 Er 0.000 0.250 0.250
```

# 19
Entry from Alexandria: Dy4Y2Er7 after structural relaxation (PBE-GGA).

The structure in CIF format:
```
data_Dy4Y2Er7
_symmetry_space_group_name_H-M 'P -3 1 m'
_symmetry_Int_Tables_number 162
_symmetry_space_group_name_Hall '-P 3 2'
_cell_length_a 6.0295
_cell_length_b 6.0295
_cell_length_c 13.2389
_cell_angle_alpha 90.00
_cell_angle_beta 90.00
_cell_angle_gamma 120.00
loop_
_atom_site_label
_atom_site_type_symbol
_atom_site_fract_x
_atom_site_fract_y
_atom_site_fract_z
Dy1 Dy 0.0000 0.0000 0.1060
Dy2 Dy 0.3333 0.6667 0.0000
Y1 Y 0.3333 0.6667 0.5000
Er1 Er 0.0000 0.0000 0.5000
Er2 Er 0.0000 0.3517 0.7148
```

# 20
# DyYEr2, relaxed, DFT PBE-GGA
# distance to the lowest polymorph of the same formula: 5 meV per atom
data_DyYEr2
_symmetry_space_group_name_H-M 'R 3 m'
_symmetry_Int_Tables_number 160
_symmetry_space_group_name_Hall 'R 3 -2"'
_cell_length_a 3.5614
_cell_length_b 3.5614
_cell_length_c 34.1431
_cell_angle_alpha 90.00
_cell_angle_beta 90.00
_cell_angle_gamma 120.00
loop_
_atom_site_label
_atom_site_type_symbol
_atom_site_fract_x
_atom_site_fract_y
_atom_site_fract_z
Dy1 Dy 0.0000 0.0000 0.0000
Y1 Y 0.0000 0.0000 0.8342
Er1 Er 0.0000 0.0000 0.4169
Er2 Er 0.0000 0.0000 0.5837

Number 1: formation enthalpy at 0 K 248 meV per atom. Number 2: formation enthalpy at 0 K 282 meV per atom. Number 3: formation enthalpy at 0 K 318 meV per atom. Number 4: formation enthalpy at 0 K 162 meV per atom. Number 5: formation enthalpy at 0 K 2 meV per atom. Number 6: formation enthalpy at 0 K 22 meV per atom. Number 7: formation enthalpy at 0 K 3 meV per atom. Number 8: formation enthalpy at 0 K 253 meV per atom. Number 9: formation enthalpy at 0 K 300 meV per atom. Number 10: formation enthalpy at 0 K 292 meV per atom. Number 11: formation enthalpy at 0 K 23 meV per atom. Number 12: formation enthalpy at 0 K 241 meV per atom. Number 13: formation enthalpy at 0 K 255 meV per atom. Number 14: formation enthalpy at 0 K 88 meV per atom. Number 15: formation enthalpy at 0 K 734 meV per atom. Number 16: formation enthalpy at 0 K 23 meV per atom. Number 17: formation enthalpy at 0 K 124 meV per atom. Number 18: formation enthalpy at 0 K 247 meV per atom. Number 19: formation enthalpy at 0 K 177 meV per atom. Number 20: formation enthalpy at 0 K 10 meV per atom.